# 1
PBE-GGA Sr3Sn2Pd3, optimized geometry; density = 6.4 Mg/m³; total magnetization = 0.0 μB per formula unit; formation energy = -0.683 eV/atom; excess energy over the best structure of this formula in the dataset = 42 meV/atom
1.0
4.703 0.000 0.000
-2.351 5.897 0.000
0.000 0.000 15.438
Sr Sn Pd
6 4 6
direct
0.922 0.845 0.391 Sr
0.078 0.155 0.891 Sr
0.922 0.845 0.109 Sr
0.078 0.155 0.609 Sr
0.635 0.271 0.250 Sr
0.365 0.729 0.750 Sr
0.784 0.569 0.911 Sn
0.216 0.431 0.411 Sn
0.784 0.569 0.589 Sn
0.216 0.431 0.089 Sn
0.616 0.232 0.461 Pd
0.384 0.768 0.961 Pd
0.616 0.232 0.039 Pd
0.384 0.768 0.539 Pd
0.318 0.635 0.250 Pd
0.682 0.365 0.750 Pd

# 2
PBE-GGA Sr2SnPd, optimized geometry; density = 4.8 Mg/m³; total magnetization = 0.0 μB per formula unit; formation energy = 0.033 eV/atom
1.0
3.872 0.000 0.000
1.936 3.353 0.000
1.936 1.118 10.613
Sr Sn Pd
2 1 1
direct
0.087 0.087 0.740 Sr
0.913 0.913 0.260 Sr
0.500 0.500 0.500 Sn
0.000 0.000 0.000 Pd

- Among the records above, which one has the lowest density?
  Sr2SnPd